No. 1
Entry from Alexandria: crystalline Pm2Pr6ErTm at its relaxed geometry (PBE).

- Mass density: 6.99 g cm⁻³
- Space group: C2/c, No. 15
- DOS(E_F): 29.08 states/eV per cell
- Energy of formation from the pure elements: 114 meV per atom
- Final energy: -92.15 eV per cell
- Crystal system: monoclinic

Geometry as POSCAR:
```
Pm2Pr6ErTm
1.0
4.649 -7.737 0.000
4.649 7.737 0.000
-1.410 0.000 9.718
Pm Pr Er Tm
4 12 2 2
direct
0.197 0.295 0.044
0.295 0.197 0.544
0.705 0.803 0.456
0.803 0.705 0.956
0.011 0.570 0.191
0.120 0.759 0.554
0.241 0.880 0.946
0.292 0.503 0.382
0.430 0.989 0.309
0.497 0.708 0.118
0.503 0.292 0.882
0.570 0.011 0.691
0.708 0.497 0.618
0.759 0.120 0.054
0.880 0.241 0.446
0.989 0.430 0.809
0.023 0.977 0.250
0.977 0.023 0.750
0.410 0.590 0.750
0.590 0.410 0.250
```

No. 2
Entry from Alexandria: crystalline P2PtSO at its relaxed geometry (PBE).

- Mass density: 7.06 g cm⁻³
- Space group: P4/mmm, No. 123
- DOS(E_F): 2.76 states/eV per cell
- Final energy: -22.53 eV per cell
- Crystal system: tetragonal
- Formation energy (no corrections): 683 meV per atom

Geometry as POSCAR:
```
P2PtSO
1.0
3.979 0.000 0.000
0.000 3.979 0.000
0.000 0.000 4.533
P Pt S O
2 1 1 1
direct
0.000 0.500 0.000
0.500 0.000 0.000
0.000 0.000 0.500
0.500 0.500 0.500
0.500 0.500 0.000
```

No. 3
Entry from Alexandria: crystalline Cs4Pr3NdTe8 at its relaxed geometry (PBE).

- Mass density: 5.13 g cm⁻³
- Space group: R-3m, No. 166
- Final energy: -70.34 eV per cell
- Crystal system: trigonal
- Formation energy (no corrections): -1418 meV per atom

Geometry as POSCAR:
```
Cs4Pr3NdTe8
1.0
4.701 2.714 8.954
-4.701 2.714 8.954
0.000 -5.428 8.954
Cs Pr Nd Te
4 3 1 8
direct
0.000 0.000 0.000
0.000 0.500 0.500
0.500 0.000 0.500
0.500 0.500 0.000
0.000 0.000 0.500
0.000 0.500 0.000
0.500 0.000 0.000
0.500 0.500 0.500
0.232 0.232 0.232
0.234 0.731 0.731
0.269 0.269 0.766
0.269 0.766 0.269
0.731 0.234 0.731
0.731 0.731 0.234
0.766 0.269 0.269
0.768 0.768 0.768
```

No. 4
Entry from Alexandria: crystalline PuUSnRh at its relaxed geometry (PBE).

- Mass density: 13.80 g cm⁻³
- Space group: F-43m, No. 216
- DOS(E_F): 19.29 states/eV per cell
- Energy of formation from the pure elements: -287 meV per atom
- Final energy: -152.48 eV per cell
- Crystal system: cubic

Geometry as POSCAR:
```
PuUSnRh
1.0
6.970 0.000 0.000
0.000 6.970 0.000
0.000 0.000 6.970
Pu U Sn Rh
4 4 4 4
direct
0.000 0.000 0.000
0.000 0.500 0.500
0.500 0.000 0.500
0.500 0.500 0.000
0.250 0.250 0.750
0.250 0.750 0.250
0.750 0.250 0.250
0.750 0.750 0.750
0.250 0.250 0.250
0.250 0.750 0.750
0.750 0.250 0.750
0.750 0.750 0.250
0.000 0.000 0.500
0.000 0.500 0.000
0.500 0.000 0.000
0.500 0.500 0.500
```